A relaxed LaEuSc crystal. Source: Alexandria via LeMat-Bulk, functional PBE-GGA.

Calculated values
Energy of formation (eV per atom): 0.111
Distance to the lowest polymorph of the same formula (meV/atom): 10
VASP energy (eV/f.u.): -21.2

abc: 3.6107 3.6107 8.8303
angles: 90.00 90.00 120.00
Closest atoms and distances in Å follow each position.
Space group P3m1 (No. 156)
Inequivalent atoms, fractional coordinates:
La (0.0000, 0.0000, 0.0000)  3 Sc 3.41, 6 La 3.61
Eu (0.6667, 0.3333, 0.3689)  3 Sc 3.55, 6 Eu 3.61, 3 La 3.87
Sc (0.3333, 0.6667, 0.6945)  3 La 3.41, 3 Eu 3.55, 6 Sc 3.61